No. 1
Below is CaDy2Au3 after structural relaxation, with properties calculated at the PBE level.

Unit cell a=5.0851 b=5.0851 c=12.5297 alpha=90.00 beta=90.00 gamma=120.00
Positions (direct):
Ca: 0.3333 0.6667 0.1670
Ca: 0.6667 0.3333 0.8330
Dy: 0.0000 0.0000 0.0000
Dy: 0.0000 0.0000 0.5000
Dy: 0.3333 0.6667 0.6695
Dy: 0.6667 0.3333 0.3305
Au: 0.0000 0.0000 0.2549
Au: 0.0000 0.0000 0.7451
Au: 0.3333 0.6667 0.4266
Au: 0.3333 0.6667 0.9185
Au: 0.6667 0.3333 0.0815
Au: 0.6667 0.3333 0.5734

Calculated values
The density of states at the Fermi level comes out at 0.592 states/eV/atom. As for the symmetry: P-3m1 (164). The calculation puts the energy above the most stable polymorph in this dataset at 6.3 kJ/mol of formula units.

No. 2
Below is ErThSbPb after structural relaxation, with properties calculated at the PBE level.

Unit cell a=7.6518 b=7.6518 c=7.6518 alpha=34.19 beta=34.19 gamma=34.19
Positions (direct):
Er: 0.0000 0.0000 0.0000
Th: 0.4999 0.4999 0.4999
Sb: 0.7465 0.7465 0.7465
Pb: 0.2535 0.2535 0.2535

Calculated values
The density of states at the Fermi level comes out at 0.391 states/eV/atom. As for the symmetry: R3m (160). Its raw formation energy is -2.63 eV/f.u.

No. 3
Below is RbAl2GaBr8 after structural relaxation, with properties calculated at the PBE level.

Unit cell a=11.0151 b=11.0151 c=11.0151 alpha=37.41 beta=37.41 gamma=37.41
Positions (direct):
Rb: 0.0000 0.0000 0.0000
Al: 0.2533 0.2533 0.2533
Al: 0.7467 0.7467 0.7467
Ga: 0.5000 0.5000 0.5000
Br: 0.0680 0.4440 0.8011
Br: 0.1989 0.9320 0.5560
Br: 0.3288 0.3288 0.3288
Br: 0.4440 0.8011 0.0680
Br: 0.5560 0.1989 0.9320
Br: 0.6712 0.6712 0.6712
Br: 0.8011 0.0680 0.4440
Br: 0.9320 0.5560 0.1989

Calculated values
The density of states at the Fermi level comes out at 0.000 states/eV/atom. As for the symmetry: R-3 (148). Its raw formation energy is -14.09 eV/f.u.

No. 4
Below is Ta2CuRu after structural relaxation, with properties calculated at the PBE level.

Unit cell a=3.2318 b=3.2318 c=6.0021 alpha=90.00 beta=90.00 gamma=90.00
Positions (direct):
Ta: 0.0000 0.0000 0.0000
Ta: 0.5000 0.5000 0.2987
Cu: 0.0000 0.0000 0.5241
Ru: 0.5000 0.5000 0.7582

Calculated values
The density of states at the Fermi level comes out at 0.429 states/eV/atom. As for the symmetry: P4mm (99). For the raw total energy, the calculation gives -9.396 eV/atom.